Run w
PBE Na2GaP, optimized geometry; DOS(E_F) = 3.446 states/eV/cell
1.0
-2.062 2.062 10.124
2.062 -2.062 10.124
2.062 2.062 -10.124
Na Ga P
4 2 2
direct
0.108 0.625 0.983
0.375 0.358 0.483
0.642 0.125 0.017
0.875 0.892 0.517
0.250 0.750 0.500
0.500 0.500 0.000
0.000 0.000 0.000
0.750 0.250 0.500

***

Run x
PBE Na2GaP, optimized geometry; DOS(E_F) = 0.000 states/eV/cell
1.0
0.000 3.472 3.472
3.472 0.000 3.472
3.472 3.472 0.000
Na Ga P
2 1 1
direct
0.250 0.250 0.250
0.750 0.750 0.750
0.000 0.000 0.000
0.500 0.500 0.500

***

The structure with the greatest stability is run x.